Crystalline Ce2CdPb at its relaxed geometry, computed with PBE.

## Properties
* E_tot: -17.5 eV/f.u.
* calculated formation energy: -24 kJ per mole of atoms
* density of states at the Fermi level: 4.44 states/eV/atom
* calculated volume: 468.1 Å³/cell

a b c (Å): 7.7646 7.7646 7.7646
angles (deg): 90.00 90.00 90.00
Closest atoms and distances in Å follow each position.
Space group Fm-3m (No. 225)
Symmetry-distinct sites (fractional):
1 Ce 0.2500 0.2500 0.2500 x8  4 Pb 3.36, 4 Cd 3.36
2 Cd 0.0000 0.0000 0.0000 x4  8 Ce 3.36
3 Pb 0.0000 0.0000 0.5000 x4  8 Ce 3.36